A.
DFT (PBE) results for an optimized crystal structure of Ba2TlRu.

Magnetization in μB/atom: 0.00
Symmetry: Imm2
Calculated volume in Å³ per cell: 129.5

a b c (Å): 6.8135 6.8135 6.8135
angles (deg): 146.94 130.77 60.59
Element x y z (fractional)
Ba (0.0000, 0.0000, 0.0000)
Ba (0.6886, 0.1886, 0.5000)
Tl (0.3904, 0.3904, 0.0000)
Ru (0.2251, 0.7251, 0.5000)

B.
DFT (PBE) results for an optimized crystal structure of Ba2TlRu.

Magnetization in μB/atom: 0.00
Symmetry: I-4m2
Calculated volume in Å³ per cell: 119.6

a b c (Å): 5.8603 5.8603 5.8603
angles (deg): 128.58 128.58 75.68
Element x y z (fractional)
Ba (0.0000, 0.0000, 0.0000)
Ba (0.7500, 0.2500, 0.5000)
Tl (0.5000, 0.5000, 0.0000)
Ru (0.2500, 0.7500, 0.5000)

It is A that is the most stable of them.

A.
DFT (PBE) results for an optimized crystal structure of BaVRu2.

Magnetization in μB/atom: 0.00
Symmetry: I4_1/amd
Calculated volume in Å³ per cell: 207.4

a b c (Å): 8.5207 8.5207 8.5207
angles (deg): 144.51 144.51 51.06
Element x y z (fractional)
Ba (0.3750, 0.6250, 0.7500)
Ba (0.6250, 0.3750, 0.2500)
V (0.1250, 0.8750, 0.2500)
V (0.8750, 0.1250, 0.7500)
Ru (0.0000, 0.0000, 0.0000)
Ru (0.0000, 0.0000, 0.5000)
Ru (0.0000, 0.5000, 0.0000)
Ru (0.5000, 0.0000, 0.5000)

B.
DFT (PBE) results for an optimized crystal structure of BaVRu2.

Magnetization in μB/atom: 0.12
Symmetry: Fm-3m
Calculated volume in Å³ per cell: 75.4

a b c (Å): 4.7427 4.7427 4.7427
angles (deg): 60.00 60.00 60.00
Element x y z (fractional)
Ba (0.0000, 0.0000, 0.0000)
V (0.5000, 0.5000, 0.5000)
Ru (0.2500, 0.2500, 0.2500)
Ru (0.7500, 0.7500, 0.7500)

It is A that is the most stable of them.